[1]
# Hf3Al

A geometry-optimized Hf3Al structure (PBE, OQMD via LeMat-Bulk).

Values from the calculation:
- raw total energy (eV/f.u.) = -34.4
- magnetic moment (Bohr magnetons per cell) = 0.0

a = 5.0162 Å, b = 5.9832 Å, c = 5.4826 Å
α = 90.00°, β = 90.00°, γ = 90.00°
Space group Pmmn (No. 59, origin choice 2)
Asymmetric unit:
Hf 0.2500 0.0003 0.1584
Hf 0.2500 0.2500 0.6425
Al 0.2500 0.7500 0.6660


[2]
# PrNdCo2Si2

A geometry-optimized PrNdCo2Si2 structure (PBE, OQMD via LeMat-Bulk).

Values from the calculation:
- raw total energy (eV/f.u.) = -38.7
- magnetic moment (Bohr magnetons per cell) = 0.6

a = 4.0197 Å, b = 4.0197 Å, c = 7.0657 Å
α = 90.00°, β = 90.00°, γ = 90.00°
Space group P4mm (No. 99)
Asymmetric unit:
Pr 0.0000 0.0000 0.0000
Nd 0.5000 0.5000 0.6334
Co 0.0000 0.5000 0.3204
Si 0.0000 0.0000 0.4880
Si 0.5000 0.5000 0.1531


[3]
# FeSi24Ge7

A geometry-optimized FeSi24Ge7 structure (PBE, OQMD via LeMat-Bulk).

Values from the calculation:
- raw total energy (eV/f.u.) = -168.6
- magnetic moment (Bohr magnetons per cell) = 0.0

a = 6.7366 Å, b = 6.7371 Å, c = 15.5827 Å
α = 89.99°, β = 90.00°, γ = 70.56°
Space group P1 (No. 1)
Asymmetric unit:
Fe 0.0000 0.0000 0.0000
Si 0.0017 0.5009 0.8741
Si 0.0038 0.9947 0.2543
Si 0.0036 0.9945 0.7500
Si 0.0054 0.4964 0.3765
Si 0.0053 0.9963 0.5000
Si 0.1266 0.1177 0.6255
Si 0.1319 0.1230 0.3767
Si 0.1322 0.6231 0.4989
Si 0.1328 0.6229 0.2545
Si 0.1325 0.6226 0.7521
Si 0.5054 0.9965 0.3762
Si 0.5057 0.4969 0.2522
Si 0.5058 0.4968 0.5001
Si 0.5056 0.4968 0.7520
Si 0.5120 0.9948 0.8767
Si 0.5132 0.4946 0.0001
Si 0.6261 0.6181 0.1264
Si 0.6265 0.6176 0.6260
Si 0.6314 0.1235 0.7528
Si 0.6320 0.1234 0.4989
Si 0.6316 0.1236 0.2538
Si 0.6316 0.6228 0.3760
Si 0.6317 0.6234 0.8757
Si 0.6473 0.1181 0.9986
Ge 0.0020 0.5015 0.1279
Ge 0.0055 0.4964 0.6256
Ge 0.1216 0.1127 0.1219
Ge 0.1278 0.1189 0.8798
Ge 0.1277 0.6379 0.9985
Ge 0.5054 0.9966 0.6259
Ge 0.5126 0.9951 0.1252


[4]
# Ho2Nb2SiGe

A geometry-optimized Ho2Nb2SiGe structure (PBE, OQMD via LeMat-Bulk).

Values from the calculation:
- raw total energy (eV/f.u.) = -43.2
- magnetic moment (Bohr magnetons per cell) = 1.1

a = 4.0117 Å, b = 4.0117 Å, c = 7.7665 Å
α = 90.00°, β = 90.00°, γ = 90.00°
Space group P4mm (No. 99)
Asymmetric unit:
Ho 0.0000 0.0000 0.0000
Ho 0.5000 0.5000 0.2946
Nb 0.0000 0.5000 0.6428
Si 0.0000 0.0000 0.4026
Ge 0.5000 0.5000 0.8941


[5]
# Y4InFeN2

A geometry-optimized Y4InFeN2 structure (PBE, OQMD via LeMat-Bulk).

Values from the calculation:
- raw total energy (eV/f.u.) = -59.7
- magnetic moment (Bohr magnetons per cell) = 1.0
- distance to the lowest polymorph of the same formula (meV per atom) = 0

a = 3.4919 Å, b = 3.4919 Å, c = 14.9992 Å
α = 90.00°, β = 90.00°, γ = 120.00°
Space group P-6m2 (No. 187)
Asymmetric unit:
Y 0.0000 0.0000 0.1388
Y 0.6667 0.3333 0.3214
In 0.0000 0.0000 0.5000
Fe 0.6667 0.3333 0.0000
N 0.3333 0.6667 0.2385


[6]
# Nd2I

A geometry-optimized Nd2I structure (PBE, OQMD via LeMat-Bulk).

Values from the calculation:
- raw total energy (eV/f.u.) = -7.5
- magnetic moment (Bohr magnetons per cell) = 30.7
- distance to the lowest polymorph of the same formula (meV per atom) = 1725

a = 13.9721 Å, b = 13.9721 Å, c = 13.9721 Å
α = 90.00°, β = 90.00°, γ = 90.00°
Space group Fd-3m (No. 227, origin choice 2)
Asymmetric unit:
Nd 0.0000 0.0000 0.0000
I 0.1250 0.1250 0.1250


[7]
# LuTlPdS3

A geometry-optimized LuTlPdS3 structure (PBE, OQMD via LeMat-Bulk).

Values from the calculation:
- raw total energy (eV/f.u.) = -30.1
- magnetic moment (Bohr magnetons per cell) = 0.0
- distance to the lowest polymorph of the same formula (meV per atom) = 0

a = 14.3550 Å, b = 3.9272 Å, c = 10.5136 Å
α = 90.00°, β = 90.00°, γ = 90.00°
Space group Pnma (No. 62)
Asymmetric unit:
Lu 0.0214 0.2500 0.1571
Tl 0.2398 0.2500 0.4551
Pd 0.0019 0.7500 0.4095
S 0.0839 0.7500 0.6211
S 0.0940 0.2500 0.9264
S 0.1292 0.7500 0.2469


[8]
# Li4GeBiPd2

A geometry-optimized Li4GeBiPd2 structure (PBE, OQMD via LeMat-Bulk).

Values from the calculation:
- raw total energy (eV/f.u.) = -31.0

a = 4.3705 Å, b = 4.3705 Å, c = 6.5602 Å
α = 90.00°, β = 90.00°, γ = 90.00°
Space group P-4m2 (No. 115)
Asymmetric unit:
Li 0.0000 0.0000 0.0000
Li 0.0000 0.5000 0.2201
Li 0.5000 0.5000 0.5000
Ge 0.5000 0.5000 0.0000
Bi 0.0000 0.0000 0.5000
Pd 0.0000 0.5000 0.7844